1.
Entry from OQMD via LeMat-Bulk: an optimized crystal structure of TmPu (GGA-PBE).

a b c (Å): 3.437 3.437 5.651
angles (deg): 90.00 90.00 120.00
Last column: magnetic moment on the atom in μB.
Fractional positions:
Pu: 0.667 0.333 0.750  5.56
Tm: 0.333 0.667 0.250  0.23

Summary:
Magnetic moment (μB/cell): 6.206
Total DFT energy (no corrections) (eV/atom): -9.24
ΔE_f (eV/atom): 0.06


2.
Entry from OQMD via LeMat-Bulk: an optimized crystal structure of TmPu2 (GGA-PBE).

a b c (Å): 9.981 9.981 9.981
angles (deg): 60.00 60.00 60.00
Last column: magnetic moment on the atom in μB.
Fractional positions:
Pu: 0.875 0.375 0.375  6.44
Pu: 0.375 0.875 0.375  6.37
Pu: 0.375 0.375 0.375  6.29
Pu: 0.375 0.375 0.875  6.27
Tm: 0.250 0.250 0.250  1.79
Tm: 0.500 0.500 0.500  1.79

Summary:
Magnetic moment (μB/cell): 33.990
Total DFT energy (no corrections) (eV/atom): -8.54
ΔE_f (eV/atom): 2.37


3.
Entry from OQMD via LeMat-Bulk: an optimized crystal structure of Tm2Pu (GGA-PBE).

a b c (Å): 8.391 8.391 8.391
angles (deg): 60.00 60.00 60.00
Last column: magnetic moment on the atom in μB.
Fractional positions:
Pu: 0.250 0.250 0.250  5.57
Pu: 0.500 0.500 0.500  5.56
Tm: 0.375 0.875 0.375  0.40
Tm: 0.375 0.375 0.375  0.40
Tm: 0.875 0.375 0.375  0.56
Tm: 0.375 0.375 0.875  0.39

Summary:
Magnetic moment (μB/cell): 12.491
Total DFT energy (no corrections) (eV/atom): -4.95
ΔE_f (eV/atom): 2.74


4.
Entry from OQMD via LeMat-Bulk: an optimized crystal structure of TmPu (GGA-PBE).

a b c (Å): 4.524 4.524 4.524
angles (deg): 60.00 60.00 60.00
Last column: magnetic moment on the atom in μB.
Fractional positions:
Pu: 0.000 0.000 0.000  5.76
Tm: 0.500 0.500 0.500  0.77

Summary:
Magnetic moment (μB/cell): 6.925
Total DFT energy (no corrections) (eV/atom): -8.48
ΔE_f (eV/atom): 0.82


Copy entry 4 word for word.
Entry from OQMD via LeMat-Bulk: an optimized crystal structure of TmPu (GGA-PBE).

a b c (Å): 4.524 4.524 4.524
angles (deg): 60.00 60.00 60.00
Last column: magnetic moment on the atom in μB.
Fractional positions:
Pu: 0.000 0.000 0.000  5.76
Tm: 0.500 0.500 0.500  0.77

Summary:
Magnetic moment (μB/cell): 6.925
Total DFT energy (no corrections) (eV/atom): -8.48
ΔE_f (eV/atom): 0.82


Please write out number 1 again, unchanged.
Entry from OQMD via LeMat-Bulk: an optimized crystal structure of TmPu (GGA-PBE).

a b c (Å): 3.437 3.437 5.651
angles (deg): 90.00 90.00 120.00
Last column: magnetic moment on the atom in μB.
Fractional positions:
Pu: 0.667 0.333 0.750  5.56
Tm: 0.333 0.667 0.250  0.23

Summary:
Magnetic moment (μB/cell): 6.206
Total DFT energy (no corrections) (eV/atom): -9.24
ΔE_f (eV/atom): 0.06